No. 1
Entry from Alexandria: crystalline Ac2TeP at its relaxed geometry (PBE).

Summary:
The value obtained for the density of states at the Fermi level is 0.3052 states/eV/atom. As for the total magnetization: 0.0 μB per formula unit. The raw formation energy is -1544 meV per atom. For the total energy, the calculation gives -5.737 eV/atom. The space group is No. 59.

Cell: 4.5004 6.4994 9.3761 Å, 90.00 90.00 90.00°
Last column: nearest neighbours and their distance in Å.
Element x y z (fractional)
P1 0.5000 0.0000 0.6218  6 Ac 3.04-3.25
Ac1 0.0000 0.0000 0.8402  2 P 3.04, 2 Te 3.27
Ac2 0.5000 0.5000 0.1598  2 P 3.04, 2 Te 3.27
Ac3 0.5000 0.5000 0.6033  4 P 3.08-3.25, 2 Te 3.44
Te1 0.5000 0.0000 0.1187  6 Ac 3.27-3.45
Te2 0.0000 0.5000 0.8813  6 Ac 3.27-3.45
P2 0.0000 0.5000 0.3782  6 Ac 3.04-3.25
Ac4 0.0000 0.0000 0.3967  4 P 3.08-3.25, 2 Te 3.44

---

No. 2
Entry from Alexandria: crystalline TaGaCo at its relaxed geometry (PBE).

Summary:
The calculation puts the formation energy at -63 meV per atom. The value obtained for the density of states at the Fermi level is 0.8409 states/eV/atom. As for the total magnetization: 0.0 μB per formula unit. For the total energy, the calculation gives -7.392 eV/atom. The space group is No. 11.

Cell: 5.1321 6.2741 6.2741 Å, 75.99 75.82 75.82°
Last column: nearest neighbours and their distance in Å.
Element x y z (fractional)
Ta1 0.8039 0.8335 0.5835  4 Co 2.40-2.68
Ga1 0.6336 0.4086 0.6587  3 Co 2.44-2.47, 2 Ga 2.57
Co1 0.9215 0.0501 0.8001  4 Ta 2.40-2.68, 3 Ga 2.44-2.47
Co2 0.0785 0.4499 0.6999  4 Ta 2.40-2.68, 3 Ga 2.44-2.47
Co3 0.9215 0.5501 0.3001  4 Ta 2.40-2.68, 3 Ga 2.44-2.47
Ta2 0.1961 0.1665 0.4165  4 Co 2.40-2.68
Co4 0.0785 0.9499 0.1999  4 Ta 2.40-2.68, 3 Ga 2.44-2.47
Ta3 0.1961 0.6665 0.9165  4 Co 2.40-2.68
Ga2 0.6336 0.9087 0.1587  3 Co 2.44-2.47, 2 Ga 2.57
Ta4 0.8039 0.3335 0.0835  4 Co 2.40-2.68
Ga3 0.3664 0.0913 0.8413  3 Co 2.44-2.47, 2 Ga 2.57
Ga4 0.3664 0.5914 0.3413  3 Co 2.44-2.47, 2 Ga 2.57

---

No. 3
Entry from Alexandria: crystalline BaLi2AlHg4 at its relaxed geometry (PBE).

Summary:
The calculation puts the formation energy at -311 meV per atom. The value obtained for the density of states at the Fermi level is 0.5925 states/eV/atom. As for the total magnetization: 0.0 μB per formula unit. For the total energy, the calculation gives -1.649 eV/atom. The space group is No. 166.

Cell: 4.6722 4.6722 10.7870 Å, 77.49 77.49 60.00°
Last column: nearest neighbours and their distance in Å.
Element x y z (fractional)
Ba1 0.0000 0.0000 0.0000  6 Hg 3.48
Li1 0.2251 0.2251 0.3247  7 Hg 2.77-3.02
Hg1 0.1288 0.1288 0.6137  4 Li 2.77-3.02, 3 Al 2.95
Hg2 0.5964 0.5964 0.2109  3 Li 2.95, 1 Al 3.02, 3 Hg 3.26
Li2 0.7749 0.7749 0.6753  7 Hg 2.77-3.02
Hg3 0.8712 0.8712 0.3863  4 Li 2.77-3.02, 3 Al 2.95
Hg4 0.4036 0.4036 0.7891  3 Li 2.95, 1 Al 3.02, 3 Hg 3.26
Al1 0.5000 0.5000 0.5000  8 Hg 2.95-3.02, 6 Li 3.26

---

No. 4
Entry from Alexandria: crystalline HfCrPtW2 at its relaxed geometry (PBE).

Summary:
The calculation puts the formation energy at 2301 meV per atom. The value obtained for the density of states at the Fermi level is 1.2075 states/eV/atom. As for the total magnetization: 0.0 μB per formula unit. For the total energy, the calculation gives -8.003 eV/atom. The space group is No. 123.

Cell: 4.7619 4.3752 4.7619 Å, 90.00 90.00 90.00°
Last column: nearest neighbours and their distance in Å.
Element x y z (fractional)
W1 0.0000 0.0000 0.5000  2 Hf 2.38
Cr1 0.0000 0.5000 0.0000  2 Hf 2.19
W2 0.5000 0.0000 0.0000  2 Hf 2.38
Pt1 0.5000 0.5000 0.5000  8 W 3.23, 4 Cr 3.37
Hf1 0.0000 0.0000 0.0000  2 Cr 2.19, 4 W 2.38

---

No. 5
Entry from Alexandria: crystalline BaMn4Fe at its relaxed geometry (PBE).

Summary:
The calculation puts the formation energy at 883 meV per atom. The value obtained for the density of states at the Fermi level is 1.8521 states/eV/atom. As for the total magnetization: 13.0 μB per formula unit. For the total energy, the calculation gives -6.961 eV/atom. The space group is No. 216.

Cell: 5.1767 5.1767 5.1767 Å, 60.00 60.00 60.00°
Last column: nearest neighbours and their distance in Å.
Element x y z (fractional)
Ba1 0.7500 0.7500 0.7500  12 Mn 3.04, 4 Fe 3.17
Mn1 0.3715 0.8854 0.3715  6 Mn 2.52-2.66
Mn2 0.8854 0.3715 0.3715  6 Mn 2.52-2.66
Mn3 0.3715 0.3715 0.3715  6 Mn 2.52-2.66
Fe1 0.0000 0.0000 0.0000  12 Mn 3.03, 4 Ba 3.17
Mn4 0.3715 0.3715 0.8854  6 Mn 2.52-2.66

---

No. 6
Entry from Alexandria: crystalline TaP2Pb at its relaxed geometry (PBE).

Summary:
The calculation puts the formation energy at 86 meV per atom. The value obtained for the density of states at the Fermi level is 0.9213 states/eV/atom. As for the total magnetization: 0.0 μB per formula unit. For the total energy, the calculation gives -6.509 eV/atom. The space group is No. 122.

Cell: 6.1375 6.1375 7.3195 Å, 65.21 65.21 90.00°
Last column: nearest neighbours and their distance in Å.
Element x y z (fractional)
Ta1 0.2500 0.7500 0.5000  4 P 2.39
P1 0.1959 0.6250 0.2500  2 Ta 2.39
P2 0.5541 0.1250 0.2500  2 Ta 2.39
Pb1 0.7500 0.2500 0.5000  4 P 2.90
Ta2 0.5000 0.5000 0.0000  4 P 2.39
Pb2 0.0000 0.0000 0.0000  4 P 2.90
P3 0.3750 0.4459 0.7500  2 Ta 2.39
P4 0.8750 0.8041 0.7500  2 Ta 2.39

---

No. 7
Entry from Alexandria: crystalline Na2CuSbCl6 at its relaxed geometry (PBE).

Summary:
The value obtained for the density of states at the Fermi level is 0.0000 states/eV/atom. As for the total magnetization: 0.1 μB per formula unit. The raw formation energy is -1148 meV per atom. For the total energy, the calculation gives -3.342 eV/atom. The space group is No. 1.

Cell: 6.8681 6.8816 7.7136 Å, 63.54 63.55 60.06°
Last column: nearest neighbours and their distance in Å.
Element x y z (fractional)
Cl1 0.2347 0.9581 0.2218  1 Sb 2.56, 1 Na 2.86
Cl2 0.4410 0.7297 0.7369  1 Cu 2.25
Na1 0.5199 0.5212 0.4376  6 Cl 2.87-2.96
Cl3 0.0926 0.4397 0.7359  1 Cu 2.25
Cl4 0.5853 0.2350 0.2216  1 Sb 2.55
Cl5 0.9577 0.5854 0.2211  1 Sb 2.55
Sb1 0.3279 0.3281 0.0159  3 Cl 2.55-2.56
Na2 0.0164 0.0154 0.9521  6 Cl 2.83-2.87
Cu1 0.7557 0.7552 0.7363  3 Cl 2.25
Cl6 0.7304 0.0936 0.7359  1 Cu 2.25

---

No. 8
Entry from Alexandria: crystalline BaZnNi2 at its relaxed geometry (PBE).

Summary:
The calculation puts the formation energy at 234 meV per atom. The value obtained for the density of states at the Fermi level is 1.0028 states/eV/atom. As for the total magnetization: 0.6 μB per formula unit. For the total energy, the calculation gives -3.456 eV/atom. The space group is No. 99.

Cell: 3.2547 3.2498 7.2120 Å, 90.00 90.00 90.00°
Last column: nearest neighbours and their distance in Å.
Element x y z (fractional)
Ni1 0.5000 0.5000 0.2266  4 Ni 2.51, 4 Zn 2.67
Ni2 0.0000 0.0000 0.0870  1 Zn 2.36, 4 Ni 2.51
Zn1 0.0000 0.0000 0.4144  1 Ni 2.36
Ba1 0.5000 0.5000 0.7719  5 Ni 3.23-3.28, 4 Ba 3.25, 4 Zn 3.45

---

No. 9
Entry from Alexandria: crystalline Tc2NiSeCl at its relaxed geometry (PBE).

Summary:
The value obtained for the density of states at the Fermi level is 1.2471 states/eV/atom. As for the total magnetization: 5.2 μB per formula unit. The raw formation energy is 1520 meV per atom. For the total energy, the calculation gives -4.849 eV/atom. The space group is No. 123.

Cell: 4.6073 5.3545 4.6073 Å, 90.00 90.00 90.00°
Last column: nearest neighbours and their distance in Å.
Element x y z (fractional)
Ni1 0.5000 0.5000 0.5000  4 Cl 3.26, 8 Tc 3.53
Tc1 0.5000 0.0000 0.0000  2 Se 2.30
Se1 0.0000 0.0000 0.0000  4 Tc 2.30
Cl1 0.0000 0.5000 0.0000  2 Se 2.68
Tc2 0.0000 0.0000 0.5000  2 Se 2.30

---

No. 10
Entry from Alexandria: crystalline CuPPbW2 at its relaxed geometry (PBE).

Summary:
The calculation puts the formation energy at 2047 meV per atom. The value obtained for the density of states at the Fermi level is 1.1694 states/eV/atom. As for the total magnetization: 4.4 μB per formula unit. For the total energy, the calculation gives -5.777 eV/atom. The space group is No. 123.

Cell: 4.7504 4.7745 4.7504 Å, 90.00 90.00 90.00°
Last column: nearest neighbours and their distance in Å.
Element x y z (fractional)
P1 0.5000 0.5000 0.5000  4 Pb 3.36, 8 W 3.37
W1 0.0000 0.0000 0.5000  2 Cu 2.38
Cu1 0.0000 0.0000 0.0000  4 W 2.38, 2 Pb 2.39
W2 0.5000 0.0000 0.0000  2 Cu 2.38
Pb1 0.0000 0.5000 0.0000  2 Cu 2.39

---

No. 11
Entry from Alexandria: crystalline LaIr2Os at its relaxed geometry (PBE).

Summary:
The calculation puts the formation energy at 106 meV per atom. The value obtained for the density of states at the Fermi level is 0.8098 states/eV/atom. As for the total magnetization: 0.0 μB per formula unit. For the total energy, the calculation gives -8.363 eV/atom. The space group is No. 8.

Cell: 4.9263 4.9263 5.5447 Å, 79.61 79.61 34.45°
Last column: nearest neighbours and their distance in Å.
Element x y z (fractional)
Ir1 0.7380 0.7380 0.7910  2 Os 2.58, 2 Ir 2.82
Ir2 0.9968 0.9968 0.0358  3 Os 2.63-2.72, 4 Ir 2.82-2.92
La1 0.5032 0.5032 0.5091  2 La 2.92, 7 Ir 2.94-3.26, 3 Os 3.16-3.23
Os1 0.2621 0.2621 0.1641  5 Ir 2.58-2.72

---

No. 12
Entry from Alexandria: crystalline Rb5Cl2O at its relaxed geometry (PBE).

Summary:
The value obtained for the density of states at the Fermi level is 0.2516 states/eV/atom. As for the total magnetization: 0.3 μB per formula unit. The raw formation energy is -1286 meV per atom. For the total energy, the calculation gives -2.973 eV/atom. The space group is No. 63.

Cell: 6.2718 8.2789 14.9502 Å, 90.00 90.00 112.26°
Last column: nearest neighbours and their distance in Å.
Element x y z (fractional)
Rb1 0.7064 0.4129 0.2500  2 O 3.15, 2 Cl 3.42
Rb2 0.0552 0.1104 0.1259  1 O 2.71
Rb3 0.2936 0.5871 0.7500  2 O 3.15, 2 Cl 3.42
Rb4 0.0552 0.1104 0.3741  1 O 2.71
Rb5 0.3030 0.6059 0.1120  1 O 2.75
Cl1 0.8401 0.6803 0.0670  6 Rb 3.26-3.46
Cl2 0.8401 0.6803 0.4330  6 Rb 3.26-3.46
Cl3 0.1599 0.3197 0.9330  6 Rb 3.26-3.46
Rb6 0.9448 0.8896 0.6259  1 O 2.71
Rb7 0.3030 0.6059 0.3880  1 O 2.75
Rb8 0.9448 0.8896 0.8741  1 O 2.71
O1 0.8157 0.6313 0.7500  4 Rb 2.71-2.75
Rb9 0.6970 0.3941 0.6120  1 O 2.75
Cl4 0.1599 0.3197 0.5670  6 Rb 3.26-3.46
O2 0.1843 0.3687 0.2500  4 Rb 2.71-2.75
Rb10 0.6970 0.3941 0.8880  1 O 2.75

---

No. 13
Entry from Alexandria: crystalline CeHo2ErTl4 at its relaxed geometry (PBE).

Summary:
The calculation puts the formation energy at -292 meV per atom. The value obtained for the density of states at the Fermi level is 1.5194 states/eV/atom. As for the total magnetization: 1.0 μB per formula unit. For the total energy, the calculation gives -3.932 eV/atom. The space group is No. 166.

Cell: 5.3770 5.3770 9.3882 Å, 73.36 73.36 60.00°
Last column: nearest neighbours and their distance in Å.
Element x y z (fractional)
Ho1 0.2509 0.2509 0.2472  8 Tl 3.26-3.40
Tl1 0.6265 0.6265 0.1204  4 Ho 3.26-3.30, 3 Er 3.28, 1 Ce 3.36
Tl2 0.1231 0.1231 0.6308  1 Er 3.27, 4 Ho 3.29-3.40, 3 Ce 3.31
Tl3 0.8769 0.8769 0.3692  1 Er 3.27, 4 Ho 3.29-3.40, 3 Ce 3.31
Ho2 0.7491 0.7491 0.7528  8 Tl 3.26-3.40
Tl4 0.3735 0.3735 0.8796  4 Ho 3.26-3.30, 3 Er 3.28, 1 Ce 3.36
Er1 0.0000 0.0000 0.0000  8 Tl 3.27-3.28
Ce1 0.5000 0.5000 0.5000  8 Tl 3.31-3.36

---

No. 14
Entry from Alexandria: crystalline K2AsPb at its relaxed geometry (PBE).

Summary:
The calculation puts the formation energy at -60 meV per atom. The value obtained for the density of states at the Fermi level is 0.7866 states/eV/atom. As for the total magnetization: 0.0 μB per formula unit. For the total energy, the calculation gives -2.698 eV/atom. The space group is No. 122.

Cell: 11.9754 11.9754 8.9158 Å, 47.81 47.81 90.00°
Last column: nearest neighbours and their distance in Å.
Element x y z (fractional)
K1 0.4688 0.1250 0.2500  2 As 3.27
Pb1 0.0000 0.0000 0.0000  2 As 2.79
K2 0.3750 0.5312 0.7500  2 As 3.27
As1 0.5000 0.5000 0.0000  2 Pb 2.79
As2 0.2500 0.7500 0.5000  2 Pb 2.79
Pb2 0.7500 0.2500 0.5000  2 As 2.79
K3 0.2812 0.6250 0.2500  2 As 3.27
K4 0.8750 0.7188 0.7500  2 As 3.27